This record from Alexandria via LeMat-Bulk describes a geometry-optimized AcThPb structure. The functional is PBE.

CIF file:
```
data_AcThPb
_chemical_formula_sum 'Ac4 Th4 Pb4'
_space_group_name_H-M_alt 'P 1'
_space_group_IT_number 1
_space_group_name_Hall 'P 1'
_cell_length_a 6.399
_cell_length_b 9.077
_cell_length_c 9.077
_cell_angle_alpha 82.86
_cell_angle_beta 69.36
_cell_angle_gamma 69.36
loop_
_atom_site_label
_atom_site_type_symbol
_atom_site_fract_x
_atom_site_fract_y
_atom_site_fract_z
Pb1 Pb 0.000 0.375 0.625
Pb2 Pb 0.625 0.375 0.375
Pb3 Pb 0.375 0.625 0.625
Pb4 Pb 0.000 0.625 0.375
Th1 Th 0.818 0.000 0.364
Th2 Th 0.182 0.000 0.636
Th3 Th 0.818 0.364 0.000
Th4 Th 0.182 0.636 0.000
Ac1 Ac 0.500 0.763 0.237
Ac2 Ac 0.263 0.237 0.237
Ac3 Ac 0.737 0.763 0.763
Ac4 Ac 0.500 0.237 0.763
```

Values from the calculation:
E_form: 123.3 meV/atom
relative energy among the computed polymorphs: 1.40 eV per formula unit